No. 1
## Li3FePd12 (PBE)

Data for an optimized crystal structure of Li3FePd12.

Magnetic moment in μB/f.u.: 4.68
Total energy in eV per atom: -4.99
D(E_F) in states/eV/f.u.: 19.3

a = 3.9024 Å, b = 3.9024 Å, c = 15.4688 Å
α = 90.00°, β = 90.00°, γ = 90.00°
Last column: nearest neighbours and their distance in Å.
Fractional positions:
1 Fe 0.0000 0.0000 0.0000  12 Pd 2.73-2.76
2 Pd 0.5000 0.0000 0.3753  4 Li 2.73-2.74, 8 Pd 2.74-2.76
3 Pd 0.0000 0.5000 0.6247  4 Li 2.73-2.74, 8 Pd 2.74-2.76
4 Pd 0.0000 0.5000 0.3753  4 Li 2.73-2.74, 8 Pd 2.74-2.76
5 Pd 0.5000 0.5000 0.0000  8 Pd 2.73, 4 Fe 2.76
6 Pd 0.5000 0.0000 0.6247  4 Li 2.73-2.74, 8 Pd 2.74-2.76
7 Pd 0.5000 0.5000 0.5000  8 Pd 2.74, 4 Li 2.76
8 Pd 0.5000 0.5000 0.7500  8 Pd 2.75-2.76, 4 Li 2.76
9 Pd 0.5000 0.0000 0.1235  2 Fe 2.73, 8 Pd 2.73-2.76, 2 Li 2.78
10 Pd 0.5000 0.5000 0.2500  8 Pd 2.75-2.76, 4 Li 2.76
11 Pd 0.0000 0.5000 0.8765  8 Pd 2.73-2.76, 2 Fe 2.73, 2 Li 2.78
12 Pd 0.5000 0.0000 0.8765  2 Fe 2.73, 8 Pd 2.73-2.76, 2 Li 2.78
13 Pd 0.0000 0.5000 0.1235  8 Pd 2.73-2.76, 2 Fe 2.73, 2 Li 2.78
14 Li 0.0000 0.0000 0.2517  12 Pd 2.73-2.78
15 Li 0.0000 0.0000 0.7483  12 Pd 2.73-2.78
16 Li 0.0000 0.0000 0.5000  12 Pd 2.74-2.76


No. 2
## KMgGeBr5 (PBE)

Data for an optimized crystal structure of KMgGeBr5.

Magnetic moment in μB/f.u.: 0.00
Total energy in eV per atom: -3.12
D(E_F) in states/eV/f.u.: 0.0

a = 7.5493 Å, b = 7.5493 Å, c = 11.1281 Å
α = 109.50°, β = 109.50°, γ = 96.12°
Last column: nearest neighbours and their distance in Å.
Fractional positions:
1 Mg 0.0000 0.0000 0.0000  6 Br 2.62-2.81
2 Mg 0.0000 0.0000 0.5000  6 Br 2.62-2.81
3 Br 0.3272 0.8955 0.5671  1 Mg 2.62, 1 Ge 2.81
4 Br 0.6728 0.1045 0.4329  1 Mg 2.62, 1 Ge 2.81
5 Br 0.9737 0.0263 0.7500  2 Mg 2.80
6 Br 0.8955 0.3272 0.0671  1 Mg 2.62, 1 Ge 2.81
7 Br 0.7830 0.6189 0.4040  1 Ge 2.62, 1 Mg 2.81
8 Br 0.0263 0.9737 0.2500  2 Mg 2.80
9 Br 0.2170 0.3811 0.5960  1 Ge 2.62, 1 Mg 2.81
10 Br 0.6189 0.7830 0.9040  1 Ge 2.62, 1 Mg 2.81
11 Br 0.3811 0.2170 0.0960  1 Ge 2.62, 1 Mg 2.81
12 Br 0.1045 0.6728 0.9329  1 Mg 2.62, 1 Ge 2.81
13 Ge 0.7441 0.2559 0.2500  4 Br 2.62-2.81
14 Ge 0.2559 0.7441 0.7500  4 Br 2.62-2.81
15 K 0.6696 0.3304 0.7500  7 Br 3.38-3.44
16 K 0.3304 0.6696 0.2500  7 Br 3.38-3.44


No. 3
## AlTc2Ag (PBE)

Data for an optimized crystal structure of AlTc2Ag.

Magnetic moment in μB/f.u.: 0.00
Total energy in eV per atom: -6.72
D(E_F) in states/eV/f.u.: 3.6

a = 4.6894 Å, b = 4.6894 Å, c = 4.9223 Å
α = 81.76°, β = 81.76°, γ = 34.86°
Last column: nearest neighbours and their distance in Å.
Fractional positions:
1 Al 0.7457 0.7457 0.7379  3 Ag 2.60-2.73, 5 Tc 2.75-2.87, 2 Al 2.81
2 Ag 0.4977 0.4977 0.5231  3 Al 2.60-2.73, 2 Ag 2.81, 5 Tc 2.82-2.84
3 Tc 0.0025 0.0025 0.0242  5 Tc 2.57-2.81, 3 Al 2.79-2.87, 4 Ag 2.82-2.84
4 Tc 0.2541 0.2541 0.2148  5 Tc 2.57-2.81, 2 Al 2.75, 1 Ag 2.84


No. 4
## GaPd2Au (PBE)

Data for an optimized crystal structure of GaPd2Au.

Magnetic moment in μB/f.u.: 0.00
Total energy in eV per atom: -4.60
D(E_F) in states/eV/f.u.: 0.6

a = 3.8298 Å, b = 4.0664 Å, c = 4.0664 Å
α = 90.00°, β = 90.00°, γ = 90.00°
Last column: nearest neighbours and their distance in Å.
Fractional positions:
1 Ga 0.5000 0.0000 0.0000  8 Pd 2.79, 4 Au 2.88
2 Au 0.5000 0.5000 0.5000  8 Pd 2.79, 4 Ga 2.88
3 Pd 0.0000 0.0000 0.5000  4 Ga 2.79, 4 Au 2.79, 4 Pd 2.88
4 Pd 0.0000 0.5000 0.0000  4 Ga 2.79, 4 Au 2.79, 4 Pd 2.88


No. 5
## PrScTl2 (PBE)

Data for an optimized crystal structure of PrScTl2.

Magnetic moment in μB/f.u.: 0.63
Total energy in eV per atom: -4.25
D(E_F) in states/eV/f.u.: 3.7

a = 4.4467 Å, b = 4.9390 Å, c = 4.9390 Å
α = 90.00°, β = 90.00°, γ = 90.00°
Last column: nearest neighbours and their distance in Å.
Fractional positions:
1 Tl 0.0000 0.0000 0.5000  4 Pr 3.32, 4 Sc 3.32, 4 Tl 3.49
2 Tl 0.0000 0.5000 0.0000  4 Pr 3.32, 4 Sc 3.32, 4 Tl 3.49
3 Pr 0.5000 0.5000 0.5000  8 Tl 3.32, 4 Sc 3.49
4 Sc 0.5000 0.0000 0.0000  8 Tl 3.32, 4 Pr 3.49


No. 6
## BeNb2Sb (PBE)

Data for an optimized crystal structure of BeNb2Sb.

Magnetic moment in μB/f.u.: 0.00
Total energy in eV per atom: -6.75
Energy above the lowest structure with this stoichiometry in eV per atom: 0.000
D(E_F) in states/eV/f.u.: 4.0

a = 4.5906 Å, b = 4.5906 Å, c = 4.5906 Å
α = 60.00°, β = 60.00°, γ = 60.00°
Last column: nearest neighbours and their distance in Å.
Fractional positions:
1 Be 0.0000 0.0000 0.0000  8 Nb 2.81
2 Sb 0.5000 0.5000 0.5000  8 Nb 2.81
3 Nb 0.2500 0.2500 0.2500  4 Sb 2.81, 4 Be 2.81
4 Nb 0.7500 0.7500 0.7500  4 Sb 2.81, 4 Be 2.81


No. 7
## Sn2BAu2 (PBE)

Data for an optimized crystal structure of Sn2BAu2.

Magnetic moment in μB/f.u.: 0.00
Total energy in eV per atom: -3.65
Energy above the lowest structure with this stoichiometry in eV per atom: 0.301
D(E_F) in states/eV/f.u.: 2.1

a = 6.8425 Å, b = 6.8425 Å, c = 4.5053 Å
α = 90.00°, β = 90.00°, γ = 90.00°
Last column: nearest neighbours and their distance in Å.
Fractional positions:
1 Au 0.8568 0.3568 0.5000  1 Au 2.77, 2 Sn 2.84
2 Au 0.1432 0.6432 0.5000  1 Au 2.77, 2 Sn 2.84
3 Au 0.6432 0.8568 0.5000  1 Au 2.77, 2 Sn 2.84
4 Au 0.3568 0.1432 0.5000  1 Au 2.77, 2 Sn 2.84
5 B 0.0000 0.0000 0.0000  4 Sn 2.52
6 B 0.5000 0.5000 0.0000  4 Sn 2.52
7 Sn 0.8217 0.6783 0.0000  2 B 2.52
8 Sn 0.3217 0.8217 0.0000  2 B 2.52
9 Sn 0.1783 0.3217 0.0000  2 B 2.52
10 Sn 0.6783 0.1783 0.0000  2 B 2.52


No. 8
## NaCdAsOs2 (PBE)

Data for an optimized crystal structure of NaCdAsOs2.

Magnetic moment in μB/f.u.: 2.08
Total energy in eV per atom: -3.47
D(E_F) in states/eV/f.u.: 6.3

a = 4.6799 Å, b = 4.6522 Å, c = 4.6799 Å
α = 90.00°, β = 90.00°, γ = 90.00°
Last column: nearest neighbours and their distance in Å.
Fractional positions:
1 Os 0.5000 0.0000 0.0000  2 Na 2.34
2 Os 0.0000 0.0000 0.5000  2 Na 2.34
3 Cd 0.5000 0.5000 0.5000  8 Os 3.30, 4 As 3.31
4 Na 0.0000 0.0000 0.0000  2 As 2.33, 4 Os 2.34
5 As 0.0000 0.5000 0.0000  2 Na 2.33


No. 9
## KIn2I8 (PBE)

Data for an optimized crystal structure of KIn2I8.

Magnetic moment in μB/f.u.: 0.00
Total energy in eV per atom: -2.30
Energy above the lowest structure with this stoichiometry in eV per atom: 0.000
D(E_F) in states/eV/f.u.: 8.3

a = 7.8190 Å, b = 9.8148 Å, c = 9.8148 Å
α = 64.81°, β = 75.30°, γ = 75.30°
Last column: nearest neighbours and their distance in Å.
Fractional positions:
1 I 0.3444 0.7963 0.7963  1 In 2.73
2 I 0.2689 0.2985 0.8794  1 In 2.79
3 I 0.7311 0.7015 0.1206  1 In 2.79
4 I 0.7311 0.1206 0.7015  1 In 2.79
5 I 0.9465 0.6666 0.6666  1 In 2.75
6 I 0.6556 0.2037 0.2037  1 In 2.73
7 I 0.2689 0.8794 0.2985  1 In 2.79
8 I 0.0535 0.3334 0.3334  1 In 2.75
9 K 0.0000 0.0000 0.0000  6 I 3.63-3.65
10 In 0.3229 0.1817 0.1817  4 I 2.73-2.79
11 In 0.6771 0.8183 0.8183  4 I 2.73-2.79


No. 10
## HfBr3F (PBE)

Data for an optimized crystal structure of HfBr3F.

Magnetic moment in μB/f.u.: 0.20
Total energy in eV per atom: -4.38
Energy above the lowest structure with this stoichiometry in eV per atom: 0.851
D(E_F) in states/eV/f.u.: 21.6

a = 5.1780 Å, b = 5.1780 Å, c = 5.1780 Å
α = 90.00°, β = 90.00°, γ = 90.00°
Last column: nearest neighbours and their distance in Å.
Fractional positions:
1 Br 0.0000 0.0000 0.5000  2 Hf 2.59
2 Br 0.0000 0.5000 0.0000  2 Hf 2.59
3 Br 0.5000 0.0000 0.0000  2 Hf 2.59
4 F 0.5000 0.5000 0.5000  12 Br 3.66
5 Hf 0.0000 0.0000 0.0000  6 Br 2.59


No. 11
## TaCo3Bi (PBE)

Data for an optimized crystal structure of TaCo3Bi.

Magnetic moment in μB/f.u.: 4.36
Total energy in eV per atom: -5.62
D(E_F) in states/eV/f.u.: 7.5

a = 4.6009 Å, b = 4.6009 Å, c = 4.6009 Å
α = 90.00°, β = 90.00°, γ = 90.00°
Last column: nearest neighbours and their distance in Å.
Fractional positions:
1 Co 0.0000 0.0000 0.5000  2 Bi 2.30
2 Co 0.5000 0.0000 0.0000  2 Bi 2.30
3 Co 0.0000 0.5000 0.0000  2 Bi 2.30
4 Ta 0.5000 0.5000 0.5000  12 Co 3.25
5 Bi 0.0000 0.0000 0.0000  6 Co 2.30


No. 12
## Ac3As5Pd6 (PBE)

Data for an optimized crystal structure of Ac3As5Pd6.

Magnetic moment in μB/f.u.: 0.00
Total energy in eV per atom: -5.67
D(E_F) in states/eV/f.u.: 9.7

a = 4.3268 Å, b = 10.4343 Å, c = 13.1438 Å
α = 90.00°, β = 90.00°, γ = 90.00°
Last column: nearest neighbours and their distance in Å.
Fractional positions:
1 As 0.5000 0.1296 0.5000  4 Pd 2.58-2.63
2 As 0.0000 0.8587 0.3323  5 Pd 2.57-2.63
3 As 0.0000 0.8587 0.6677  5 Pd 2.57-2.63
4 As 0.0000 0.8704 0.0000  4 Pd 2.58-2.63
5 As 0.5000 0.4845 0.6294  5 Pd 2.64-2.75
6 As 0.5000 0.1413 0.8323  5 Pd 2.57-2.63
7 As 0.0000 0.5155 0.1294  5 Pd 2.64-2.75
8 As 0.0000 0.5155 0.8706  5 Pd 2.64-2.75
9 As 0.5000 0.1413 0.1677  5 Pd 2.57-2.63
10 As 0.5000 0.4845 0.3706  5 Pd 2.64-2.75
11 Pd 0.5000 0.9968 0.6702  4 As 2.60-2.63
12 Pd 0.5000 0.9968 0.3298  4 As 2.60-2.63
13 Pd 0.5000 0.3870 0.8151  4 As 2.57-2.65, 1 Pd 2.77
14 Pd 0.5000 0.0044 0.0000  4 As 2.58-2.63
15 Pd 0.0000 0.0032 0.8298  4 As 2.60-2.63
16 Pd 0.5000 0.5142 0.0000  4 As 2.75, 2 Pd 2.77
17 Pd 0.0000 0.4858 0.5000  4 As 2.75, 2 Pd 2.77
18 Pd 0.0000 0.9956 0.5000  4 As 2.58-2.63
19 Pd 0.0000 0.6130 0.6849  4 As 2.57-2.65, 1 Pd 2.77
20 Pd 0.0000 0.6130 0.3151  4 As 2.57-2.65, 1 Pd 2.77
21 Pd 0.0000 0.0032 0.1702  4 As 2.60-2.63
22 Pd 0.5000 0.3870 0.1849  4 As 2.57-2.65, 1 Pd 2.77
23 Ac 0.5000 0.7479 0.5000  6 As 3.23-3.30, 10 Pd 3.37-3.55
24 Ac 0.5000 0.7475 0.1635  7 Pd 3.25-3.44, 6 As 3.28-3.31
25 Ac 0.0000 0.2525 0.3365  7 Pd 3.25-3.44, 6 As 3.28-3.31
26 Ac 0.0000 0.2525 0.6635  7 Pd 3.25-3.44, 6 As 3.28-3.31
27 Ac 0.5000 0.7475 0.8365  7 Pd 3.25-3.44, 6 As 3.28-3.31
28 Ac 0.0000 0.2521 0.0000  6 As 3.23-3.30, 10 Pd 3.37-3.55


> Look up the D(E_F) of the eleventh one.

7.5 states/eV/f.u.


> D(E_F) of number 8 (NaCdAsOs2)?

6.3 states/eV/f.u.


> Which value of D(E_F) does entry 6 give?

4.0 states/eV/f.u.


> Among the records above, which one has the lowest D(E_F)?

KMgGeBr5